# CeZrNpZn

A relaxed CeZrNpZn crystal (PBE, Alexandria via LeMat-Bulk).

Cell lengths 7.0779, 7.0779, 7.0779 Å; angles 90.00, 90.00, 90.00 degrees
Closest atoms and distances in Å follow each position.
Space group F-43m (No. 216)
One atom of each set of equivalent atoms:
Ce1 0.0000 0.0000 0.0000 (multiplicity 4)  4 Zn 3.06, 4 Np 3.06
Zr1 0.0000 0.0000 0.5000 (multiplicity 4)  4 Np 3.06, 4 Zn 3.06
Np1 0.2500 0.2500 0.2500 (multiplicity 4)  4 Zr 3.06, 4 Ce 3.06
Zn1 0.2500 0.2500 0.7500 (multiplicity 4)  4 Zr 3.06, 4 Ce 3.06

Values from the calculation:
The calculation puts the density of states at the Fermi level at 62.3 states/eV per cell. For the energy relative to the elements, the calculation gives 0.24 eV/atom. For the size of the total moment, the calculation gives 24.84 μB/cell. The value obtained for the total energy is -6.935 eV per atom. Its crystal system is cubic.

***

# CeZr2Np

A relaxed CeZr2Np crystal (PBE, Alexandria via LeMat-Bulk).

Cell lengths 3.0855, 3.0855, 10.1083 Å; angles 90.00, 90.00, 90.00 degrees
Closest atoms and distances in Å follow each position.
Space group P4/mmm (No. 123)
One atom of each set of equivalent atoms:
Ce1 0.0000 0.0000 0.0000 (multiplicity 1)  4 Ce 3.09, 8 Zr 3.41
Zr1 0.5000 0.5000 0.2595 (multiplicity 2)  4 Zr 3.09, 4 Np 3.27, 4 Ce 3.41
Np1 0.0000 0.0000 0.5000 (multiplicity 1)  4 Np 3.09, 8 Zr 3.27

Values from the calculation:
The calculation puts the density of states at the Fermi level at 10.8 states/eV per cell. For the energy relative to the elements, the calculation gives 0.26 eV/atom. Its energy above the most stable polymorph in this dataset is 0 meV/atom. For the size of the total moment, the calculation gives 3.51 μB/cell. The value obtained for the total energy is -8.732 eV per atom. Its crystal system is tetragonal.